Density functional theory data (GGA+U) for Y2Cr2O7 after structural relaxation.

a b c (Å): 7.1247 7.1298 7.1252
angles (deg): 59.97 60.05 59.98
With the nearest neighbours (Å) after each atom.
Sites, in units of the cell vectors:
Cr1 0.0000 0.5000 0.0000  6 O 1.92-1.98
Cr2 0.0000 0.0000 0.0000  6 O 1.92-1.99
Cr3 0.5000 0.0000 0.0000  6 O 1.92-1.98
Cr4 0.0000 0.0000 0.5000  6 O 1.92-1.98
O1 0.0851 0.6660 0.6765  2 Cr 1.92-1.98
O2 0.6703 0.0797 0.6703  2 Cr 1.95-1.96
O3 0.9275 0.9149 0.3340  2 Cr 1.92-1.99
O4 0.3750 0.3750 0.3750  4 Y 2.18
O5 0.0797 0.6703 0.0797  2 Cr 1.95
O6 0.6250 0.6250 0.6250  4 Y 2.18
O7 0.3339 0.3236 0.9277  2 Cr 1.92-1.98
O8 0.0725 0.0851 0.6660  2 Cr 1.92-1.99
O9 0.9149 0.3340 0.3235  2 Cr 1.92-1.98
O10 0.6764 0.0724 0.0852  2 Cr 1.92-1.98
O11 0.3236 0.9276 0.9148  2 Cr 1.92-1.98
O12 0.3297 0.9203 0.3297  2 Cr 1.95-1.96
O13 0.9203 0.3297 0.9203  2 Cr 1.95-1.96
O14 0.6661 0.6764 0.0723  2 Cr 1.92-1.98
Y1 0.5000 0.0000 0.5000  2 O 2.18
Y2 0.5000 0.5000 0.0000  2 O 2.18
Y3 0.5000 0.5000 0.5000  2 O 2.18
Y4 0.0000 0.5000 0.5000  2 O 2.18

## Properties
* E: -8.2094 eV per atom
* M_tot: 4.00 μB per formula unit